# Na3Sn3GeS8 (PBE-GGA, relaxed)
data_Na3Sn3GeS8
_chemical_formula_sum 'Na9 Sn9 Ge3 S24'
_cell_length_a 7.5882
_cell_length_b 7.5882
_cell_length_c 20.6550
_cell_angle_alpha 90.00
_cell_angle_beta 90.00
_cell_angle_gamma 120.00
_space_group_name_H-M_alt 'R -3 m'
_space_group_IT_number 166
_space_group_name_Hall '-R 3 2"'
loop_
_atom_site_label
_atom_site_type_symbol
_atom_site_fract_x
_atom_site_fract_y
_atom_site_fract_z
Na1 Na 0.0000 0.5000 0.0000
Sn1 Sn 0.0000 0.5000 0.5000
Ge1 Ge 0.0000 0.0000 0.5000
S1 S 0.0000 0.0000 0.2414
S2 S 0.0023 0.5011 0.7611
# - magnetization (μB per formula unit) = 0.00
# - V (Å³ per atom) = 22.9
# - formation energy from raw total energies (kJ per mole of atoms) = -56.91